Entry 1:
A geometry-optimized CsReSb2I structure. Source: the Alexandria database, functional GGA-PBEsol.

abc: 6.1624 6.1624 6.5200
angles: 90.00 90.00 90.00
Each line ends with the local moment (μB).
Fractional positions:
Cs  0.0000  0.0000  0.0000  0.02
I  0.0000  0.0000  0.5000  0.06
Re  0.5000  0.5000  0.5000  -4.26
Sb  0.5000  0.0000  0.0000  0.30
Sb  0.0000  0.5000  0.0000  0.30

The density of states at the Fermi level comes out at 4.12 states/eV/cell. As for the uncorrected formation energy: 12.04 eV per formula unit. As for the crystal system: tetragonal.

---

Entry 2:
A geometry-optimized ScAs2Se structure. Source: the Alexandria database, functional GGA-PBEsol.

abc: 2.8164 2.8164 10.3450
angles: 90.00 90.00 90.00
Fractional positions:
Se  0.5000  0.5000  0.5000
As  0.0000  0.0000  0.2004
As  0.0000  0.0000  0.7996
Sc  0.5000  0.5000  0.0000

The density of states at the Fermi level comes out at 2.38 states/eV/cell. As for the uncorrected formation energy: -0.96 eV per formula unit. As for the crystal system: tetragonal.

---

Entry 3:
A geometry-optimized NiIr structure. Source: the Alexandria database, functional GGA-PBEsol.

abc: 2.6434 2.6434 4.3855
angles: 72.46 72.46 60.00
Fractional positions:
Ir  0.0000  0.0000  0.0000
Ni  0.5000  0.5000  0.5000

The density of states at the Fermi level comes out at 3.20 states/eV/cell. As for the crystal system: trigonal. As for the formation energy: 0.030 eV per atom.